# NdThS2, relaxed, DFT PBE
data_NdThS2
_cell_length_a 4.0241
_cell_length_b 4.0241
_cell_length_c 20.1475
_cell_angle_alpha 90.00
_cell_angle_beta 90.00
_cell_angle_gamma 120.00
_symmetry_space_group_name_H-M 'R -3 m'
_symmetry_Int_Tables_number 166
_symmetry_space_group_name_Hall '-R 3 2"'
loop_
_atom_site_label
_atom_site_type_symbol
_atom_site_fract_x
_atom_site_fract_y
_atom_site_fract_z
Nd1 Nd 0.0000 0.0000 0.0000
Th1 Th 0.0000 0.0000 0.5000
S1 S 0.0000 0.0000 0.2501
# E_form (uncorrected) ... -1924 meV per atom
# Total energy ... -7.034 eV/atom

---

# BeReBi3, relaxed, DFT PBE
data_BeReBi3
_cell_length_a 4.998
_cell_length_b 4.998
_cell_length_c 4.998
_cell_angle_alpha 90.00
_cell_angle_beta 90.00
_cell_angle_gamma 90.00
_symmetry_space_group_name_H-M 'P m -3 m'
_symmetry_Int_Tables_number 221
_symmetry_space_group_name_Hall '-P 4 2 3'
loop_
_atom_site_label
_atom_site_type_symbol
_atom_site_fract_x
_atom_site_fract_y
_atom_site_fract_z
Be1 Be 0.000 0.000 0.000
Re1 Re 0.500 0.500 0.500
Bi1 Bi 0.000 0.000 0.500
# ΔE_f ... 130.6 kJ/mol of atoms
# Total energy ... -4.210 eV/atom

---

# Th2HgF11, relaxed, DFT PBE
data_Th2HgF11
_cell_length_a 8.680
_cell_length_b 10.774
_cell_length_c 11.243
_cell_angle_alpha 90.00
_cell_angle_beta 90.00
_cell_angle_gamma 90.00
_symmetry_space_group_name_H-M 'I b a m'
_symmetry_Int_Tables_number 72
_symmetry_space_group_name_Hall '-I 2 2c'
loop_
_atom_site_label
_atom_site_type_symbol
_atom_site_fract_x
_atom_site_fract_y
_atom_site_fract_z
Th1 Th 0.125 0.189 0.000
Hg1 Hg 0.000 0.500 0.250
F1 F 0.000 0.000 0.000
F2 F 0.062 0.352 0.129
F3 F 0.145 0.207 0.500
F4 F 0.236 0.097 0.150
# E_form (uncorrected) ... -3176 meV per atom
# Total energy ... -5.728 eV/atom

---

# PrScIr, relaxed, DFT PBE
data_PrScIr
_cell_length_a 5.333
_cell_length_b 4.854
_cell_length_c 6.032
_cell_angle_alpha 90.00
_cell_angle_beta 105.61
_cell_angle_gamma 90.00
_symmetry_space_group_name_H-M 'P 1 21/m 1'
_symmetry_Int_Tables_number 11
loop_
_symmetry_equiv_pos_as_xyz
'x,y,z'
'-x,-y,-z'
'-x,y+1/2,-z'
'x,-y+1/2,z'
loop_
_atom_site_label
_atom_site_type_symbol
_atom_site_fract_x
_atom_site_fract_y
_atom_site_fract_z
Pr1 Pr 0.206 0.250 0.399
Sc1 Sc 0.336 0.750 0.016
Ir1 Ir 0.124 0.250 0.867
# ΔE_f ... -57.8 kJ/mol of atoms
# Total energy ... -7.256 eV/atom

---

| no. | Fermi-level density of states (states/eV/f.u.) | magnetic moment (μB per cell) |
| --- | --- | --- |
| 1 | 2.05 | 0.00 |
| 2 | 4.77 | 2.86 |
| 3 | 6.72 | 3.19 |
| 4 | 2.56 | 0.00 |